Al3AgAs: relaxed, PBE.

```
5
Lattice="-0.213 -1.437 4.689 3.147 -3.640 -0.973 3.762 2.964 1.079" Properties=species:S:1:pos:R:3 pbc="T T T"
As 0.000 0.000 0.000
Al 1.573 -1.820 -0.486
Al 1.881 1.482 0.539
Al -0.106 -0.718 2.345
Ag 3.348 -1.057 2.398
```

Calculated values
SG: Pm-3m (221)
Distance to the lowest polymorph of the same formula in eV/atom: 0.098